Computed, not measured: crystalline Sr2MnCl at its relaxed geometry at the PBEsol level of DFT.

For the energy relative to the elements, uncorrected, the calculation gives -0.154 eV/atom. Its space group is No. 71.

Unit cell a=4.1441 b=6.2367 c=6.2367 alpha=65.93 beta=70.60 gamma=70.60
Each line ends with the local moment (μB).
Fractional coordinates of all 4 atoms:
Cl: 0.5000 0.0000 0.0000  0.01
Mn: 0.0000 0.5000 0.5000  4.09
Sr: 0.7855 0.2145 0.2145  -0.04
Sr: 0.2145 0.7855 0.7855  -0.04


Computed, not measured: crystalline LuCuB5O10 at its relaxed geometry at the PBEsol level of DFT.

For the energy relative to the elements, uncorrected, the calculation gives -2.426 eV/atom. Its space group is No. 72.

Unit cell a=6.0960 b=8.1708 c=8.1708 alpha=62.55 beta=68.10 gamma=68.10
Each line ends with the local moment (μB).
Fractional coordinates of all 34 atoms:
B: 0.2808 0.4064 0.7929  0.00
B: 0.0198 0.9064 0.2929  0.00
B: 0.7500 0.2500 0.2500  0.00
B: 0.7192 0.5936 0.2071  0.00
B: 0.4802 0.2071 0.5936  0.00
B: 0.2192 0.7071 0.0936  0.00
B: 0.9802 0.0936 0.7071  0.00
B: 0.5198 0.7929 0.4064  0.00
B: 0.2500 0.7500 0.7500  0.00
B: 0.7808 0.2929 0.9064  0.00
O: 0.0476 0.2333 0.5406  0.07
O: 0.1785 0.5406 0.2333  0.07
O: 0.1480 0.8740 0.1260  0.00
O: 0.8520 0.1260 0.8740  0.00
O: 0.8411 0.4083 0.2178  0.01
O: 0.6589 0.2822 0.0917  0.01
O: 0.4671 0.7822 0.5917  0.01
O: 0.5476 0.0406 0.7333  0.07
O: 0.9671 0.0917 0.2822  0.01
O: 0.3520 0.3740 0.6260  0.00
O: 0.0329 0.9083 0.7178  0.01
O: 0.4524 0.9594 0.2667  0.07
O: 0.6480 0.6260 0.3740  0.00
O: 0.3411 0.7178 0.9083  0.01
O: 0.9524 0.7667 0.4594  0.07
O: 0.5329 0.2178 0.4083  0.01
O: 0.3215 0.2667 0.9594  0.07
O: 0.8215 0.4594 0.7667  0.07
O: 0.1589 0.5917 0.7822  0.01
O: 0.6785 0.7333 0.0406  0.07
Cu: 0.5000 0.0000 0.0000  0.61
Cu: 0.0000 0.5000 0.5000  0.61
Lu: 0.2500 0.2500 0.2500  0.00
Lu: 0.7500 0.7500 0.7500  0.00


Computed, not measured: crystalline RuSe at its relaxed geometry at the PBEsol level of DFT.

For the energy relative to the elements, uncorrected, the calculation gives -0.190 eV/atom. Its space group is No. 129.

Unit cell a=3.9269 b=3.9269 c=5.3314 alpha=90.00 beta=90.00 gamma=90.00
Fractional coordinates of all 4 atoms:
Se: 0.0000 0.5000 0.7598
Se: 0.5000 0.0000 0.2402
Ru: 0.5000 0.5000 0.5000
Ru: 0.0000 0.0000 0.5000


Computed, not measured: crystalline ReSeI2O at its relaxed geometry at the PBEsol level of DFT.

For the energy relative to the elements, uncorrected, the calculation gives 0.090 eV/atom. Its space group is No. 123.

Unit cell a=3.7387 b=5.4386 c=5.4386 alpha=90.00 beta=90.00 gamma=90.00
Fractional coordinates of all 5 atoms:
O: 0.5000 0.0000 0.0000
I: 0.0000 0.5000 0.0000
I: 0.0000 0.0000 0.5000
Se: 0.5000 0.5000 0.5000
Re: 0.0000 0.0000 0.0000


Computed, not measured: crystalline Ca2PClO4 at its relaxed geometry at the PBEsol level of DFT.

For the energy relative to the elements, uncorrected, the calculation gives -2.874 eV/atom. Its space group is No. 57.

Unit cell a=6.1445 b=6.9616 c=10.7382 alpha=90.00 beta=90.00 gamma=90.00
Fractional coordinates of all 32 atoms:
O: 0.9855 0.2285 0.3838
O: 0.9855 0.2715 0.6162
O: 0.9855 0.2285 0.1162
O: 0.0145 0.7715 0.6162
O: 0.7159 0.9250 0.0239
O: 0.7159 0.5750 0.9761
O: 0.0145 0.7715 0.8838
O: 0.2841 0.4250 0.0239
O: 0.7159 0.5750 0.5239
O: 0.0145 0.7285 0.3838
O: 0.2841 0.0750 0.5239
O: 0.2841 0.0750 0.9761
O: 0.7159 0.9250 0.4761
O: 0.2841 0.4250 0.4761
O: 0.9855 0.2715 0.8838
O: 0.0145 0.7285 0.1162
Ca: 0.3686 0.7500 0.0000
Ca: 0.6314 0.2500 0.0000
Ca: 0.3686 0.7500 0.5000
Ca: 0.8679 0.5288 0.7500
Ca: 0.1321 0.0288 0.7500
Ca: 0.8679 0.9712 0.2500
Ca: 0.6314 0.2500 0.5000
Ca: 0.1321 0.4712 0.2500
P: 0.1351 0.2500 0.5000
P: 0.1351 0.2500 0.0000
P: 0.8649 0.7500 0.5000
P: 0.8649 0.7500 0.0000
Cl: 0.4907 0.7090 0.2500
Cl: 0.5093 0.2090 0.2500
Cl: 0.5093 0.2910 0.7500
Cl: 0.4907 0.7910 0.7500


Computed, not measured: crystalline CaBrO2 at its relaxed geometry at the PBEsol level of DFT.

For the energy relative to the elements, uncorrected, the calculation gives -0.888 eV/atom. Its space group is No. 122.

Unit cell a=4.4687 b=4.4687 c=7.3532 alpha=107.69 beta=107.69 gamma=90.00
Fractional coordinates of all 8 atoms:
O: 0.1250 0.1063 0.7500
O: 0.6250 0.6437 0.7500
O: 0.8937 0.3750 0.2500
O: 0.3563 0.8750 0.2500
Br: 0.0000 0.0000 0.0000
Br: 0.2500 0.7500 0.5000
Ca: 0.7500 0.2500 0.5000
Ca: 0.5000 0.5000 0.0000


Computed, not measured: crystalline MgSc2 at its relaxed geometry at the PBEsol level of DFT.

Its space group is No. 139. The energy relative to the elements is -21 meV per atom.

Unit cell a=3.2530 b=3.2530 c=6.9922 alpha=103.45 beta=103.45 gamma=90.00
Each line ends with the local moment (μB).
Fractional coordinates of all 3 atoms:
Mg: 0.5000 0.5000 0.0000  0.00
Sc: 0.1678 0.1678 0.3356  0.29
Sc: 0.8322 0.8322 0.6644  0.29


Computed, not measured: crystalline SrAg2Se2 at its relaxed geometry at the PBEsol level of DFT.

For the energy relative to the elements, uncorrected, the calculation gives -0.809 eV/atom. Its space group is No. 139.

Unit cell a=4.0234 b=4.0234 c=7.5165 alpha=105.52 beta=105.52 gamma=90.00
Fractional coordinates of all 5 atoms:
Ag: 0.2500 0.7500 0.5000
Ag: 0.7500 0.2500 0.5000
Sr: 0.0000 0.0000 0.0000
Se: 0.6156 0.6156 0.2311
Se: 0.3844 0.3844 0.7689


Computed, not measured: crystalline ScS2I at its relaxed geometry at the PBEsol level of DFT.

For the energy relative to the elements, uncorrected, the calculation gives -0.343 eV/atom. Its space group is No. 225.

Unit cell a=4.7848 b=4.7848 c=4.7848 alpha=60.00 beta=60.00 gamma=60.00
Fractional coordinates of all 4 atoms:
Sc: 0.0000 0.0000 0.0000
I: 0.5000 0.5000 0.5000
S: 0.2500 0.2500 0.2500
S: 0.7500 0.7500 0.7500


Computed, not measured: crystalline CrTe3Pt at its relaxed geometry at the PBEsol level of DFT.

For the energy relative to the elements, uncorrected, the calculation gives 0.805 eV/atom. Its space group is No. 221.

Unit cell a=4.9121 b=4.9121 c=4.9121 alpha=90.00 beta=90.00 gamma=90.00
Each line ends with the local moment (μB).
Fractional coordinates of all 5 atoms:
Te: 0.0000 0.0000 0.5000  -0.05
Te: 0.5000 0.0000 0.0000  -0.05
Te: 0.0000 0.5000 0.0000  -0.05
Cr: 0.0000 0.0000 0.0000  1.18
Pt: 0.5000 0.5000 0.5000  -0.12


Computed, not measured: crystalline KCdNi at its relaxed geometry at the PBEsol level of DFT.

Its space group is No. 156. The energy relative to the elements is 609 meV per atom.

Unit cell a=3.0880 b=3.0880 c=7.5828 alpha=90.00 beta=90.00 gamma=120.00
Fractional coordinates of all 3 atoms:
K: 0.3333 0.6667 0.6395
Cd: 0.0000 0.0000 0.0519
Ni: 0.6667 0.3333 0.3086


Computed, not measured: crystalline NdMgSi2 at its relaxed geometry at the PBEsol level of DFT.

For the energy relative to the elements, uncorrected, the calculation gives -0.579 eV/atom. Its space group is No. 141.

Unit cell a=4.2087 b=4.2087 c=18.5398 alpha=96.52 beta=96.52 gamma=90.00
Fractional coordinates of all 16 atoms:
Si: 0.4523 0.4523 0.9045
Si: 0.5477 0.5477 0.0955
Si: 0.7023 0.2023 0.4045
Si: 0.6107 0.6107 0.2213
Si: 0.6393 0.1393 0.2787
Si: 0.7977 0.2977 0.5955
Si: 0.8607 0.3607 0.7213
Si: 0.3893 0.3893 0.7787
Mg: 0.7501 0.7501 0.5001
Mg: 0.0001 0.5001 0.0001
Mg: 0.4999 0.9999 0.9999
Mg: 0.2499 0.2499 0.4999
Nd: 0.9221 0.9221 0.8442
Nd: 0.1721 0.6721 0.3442
Nd: 0.0779 0.0779 0.1558
Nd: 0.3279 0.8279 0.6558